7
Lattice="5.840 -0.696 -0.641 -2.558 5.296 -0.641 -0.784 -1.100 6.738" Properties=species:S:1:pos:R:3 comment="PBE SrLi5Mg, optimized geometry" formation_enthalpy_0k_kj_per_mol_atoms=7.0 e_above_lowest_polymorph_ev_per_fu=0.24 pbc="T T T"
Li -1.218 2.024 4.439
Li 3.716 1.477 1.017
Li 0.188 3.994 1.017
Li 2.310 -0.493 4.439
Li -0.392 -0.550 3.369
Mg 1.249 1.751 2.728
Sr 0.000 0.000 0.000